1.
Hf3BeSn: relaxed, PBE.

The value obtained for the formation energy from the elements is -0.076 eV/atom. The value obtained for the energy above the most stable polymorph in this dataset is 0.000 eV per atom.

Cell lengths 6.5611, 6.5611, 5.3190 Å; angles 90.00, 90.00, 120.00 degrees
Last column: nearest neighbours and their distance in Å.
Element x y z (fractional)
1 Hf 0.1770 0.3541 0.2500  2 Be 2.41
2 Hf 0.1770 0.8230 0.2500  2 Be 2.41
3 Hf 0.3541 0.1770 0.7500  2 Be 2.41
4 Hf 0.6459 0.8230 0.2500  2 Be 2.41
5 Hf 0.8230 0.1770 0.7500  2 Be 2.41
6 Hf 0.8230 0.6459 0.7500  2 Be 2.41
7 Be 0.0000 0.0000 0.0000  6 Hf 2.41, 2 Be 2.66
8 Be 0.0000 0.0000 0.5000  6 Hf 2.41, 2 Be 2.66
9 Sn 0.3333 0.6667 0.7500  12 Hf 3.20-3.28
10 Sn 0.6667 0.3333 0.2500  12 Hf 3.20-3.28

---

2.
Hf2BeSn: relaxed, PBE.

The value obtained for the formation energy from the elements is 0.004 eV/atom. The value obtained for the energy above the most stable polymorph in this dataset is 0.000 eV per atom.

Cell lengths 4.3442, 4.3442, 14.6497 Å; angles 90.00, 90.00, 120.00 degrees
Last column: nearest neighbours and their distance in Å.
Element x y z (fractional)
1 Hf 0.0000 0.0000 0.2323  3 Be 2.69, 3 Sn 2.91
2 Hf 0.0000 0.0000 0.7677  3 Be 2.69, 3 Sn 2.91
3 Hf 0.3333 0.6667 0.4344  3 Be 2.69, 3 Sn 2.91
4 Hf 0.3333 0.6667 0.8990  3 Be 2.69, 3 Sn 2.91
5 Hf 0.6667 0.3333 0.1010  3 Be 2.69, 3 Sn 2.91
6 Hf 0.6667 0.3333 0.5656  3 Be 2.69, 3 Sn 2.91
7 Be 0.0000 0.0000 0.5000  6 Hf 2.69
8 Be 0.3333 0.6667 0.1667  6 Hf 2.69
9 Be 0.6667 0.3333 0.8333  6 Hf 2.69
10 Sn 0.0000 0.0000 0.0000  6 Hf 2.91
11 Sn 0.3333 0.6667 0.6667  6 Hf 2.91
12 Sn 0.6667 0.3333 0.3333  6 Hf 2.91

---

3.
Hf2BeSn: relaxed, PBE.

The value obtained for the formation energy from the elements is 0.113 eV/atom. The value obtained for the energy above the most stable polymorph in this dataset is 0.109 eV per atom.

Cell lengths 6.7444, 6.7444, 6.7444 Å; angles 90.00, 90.00, 90.00 degrees
Last column: nearest neighbours and their distance in Å.
Element x y z (fractional)
1 Hf 0.2500 0.2500 0.2500  4 Sn 2.92, 4 Be 2.92
2 Hf 0.2500 0.2500 0.7500  4 Sn 2.92, 4 Be 2.92
3 Hf 0.2500 0.7500 0.2500  4 Sn 2.92, 4 Be 2.92
4 Hf 0.2500 0.7500 0.7500  4 Sn 2.92, 4 Be 2.92
5 Hf 0.7500 0.2500 0.2500  4 Sn 2.92, 4 Be 2.92
6 Hf 0.7500 0.2500 0.7500  4 Sn 2.92, 4 Be 2.92
7 Hf 0.7500 0.7500 0.2500  4 Sn 2.92, 4 Be 2.92
8 Hf 0.7500 0.7500 0.7500  4 Sn 2.92, 4 Be 2.92
9 Be 0.0000 0.0000 0.0000  8 Hf 2.92
10 Be 0.0000 0.5000 0.5000  8 Hf 2.92
11 Be 0.5000 0.0000 0.5000  8 Hf 2.92
12 Be 0.5000 0.5000 0.0000  8 Hf 2.92
13 Sn 0.0000 0.0000 0.5000  8 Hf 2.92
14 Sn 0.0000 0.5000 0.0000  8 Hf 2.92
15 Sn 0.5000 0.0000 0.0000  8 Hf 2.92
16 Sn 0.5000 0.5000 0.5000  8 Hf 2.92

---

4.
HfBeSn3: relaxed, PBE.

The value obtained for the formation energy from the elements is 0.556 eV/atom. The value obtained for the energy above the most stable polymorph in this dataset is 0.000 eV per atom.

Cell lengths 4.8845, 4.8845, 4.8845 Å; angles 90.00, 90.00, 90.00 degrees
Last column: nearest neighbours and their distance in Å.
Element x y z (fractional)
1 Hf 0.0000 0.0000 0.0000  12 Sn 3.45
2 Be 0.5000 0.5000 0.5000  6 Sn 2.44
3 Sn 0.0000 0.5000 0.5000  2 Be 2.44
4 Sn 0.5000 0.0000 0.5000  2 Be 2.44
5 Sn 0.5000 0.5000 0.0000  2 Be 2.44

---

5.
HfBeV2Sn: relaxed, PBE.

The value obtained for the formation energy from the elements is 0.269 eV/atom.

Cell lengths 4.2565, 4.2565, 4.5926 Å; angles 90.00, 90.00, 90.00 degrees
Last column: nearest neighbours and their distance in Å.
Element x y z (fractional)
1 Hf 0.0000 0.0000 0.0000  2 Be 2.30
2 Be 0.0000 0.0000 0.5000  4 V 2.13, 2 Hf 2.30
3 V 0.0000 0.5000 0.5000  2 Be 2.13
4 V 0.5000 0.0000 0.5000  2 Be 2.13
5 Sn 0.5000 0.5000 0.0000  4 Hf 3.01, 8 V 3.13

---

6.
YHfBeSn2: relaxed, PBE.

The value obtained for the formation energy from the elements is 0.317 eV/atom.

Cell lengths 4.8241, 4.8241, 4.9307 Å; angles 90.00, 90.00, 90.00 degrees
Last column: nearest neighbours and their distance in Å.
Element x y z (fractional)
1 Y 0.0000 0.0000 0.0000  2 Be 2.47
2 Hf 0.5000 0.5000 0.0000  4 Y 3.41, 8 Sn 3.45
3 Be 0.0000 0.0000 0.5000  4 Sn 2.41, 2 Y 2.47
4 Sn 0.0000 0.5000 0.5000  2 Be 2.41
5 Sn 0.5000 0.0000 0.5000  2 Be 2.41

---

7.
SrHfBe: relaxed, PBE.

The value obtained for the formation energy from the elements is 0.172 eV/atom. The value obtained for the energy above the most stable polymorph in this dataset is 0.000 eV per atom.

Cell lengths 3.6673, 3.9408, 11.0978 Å; angles 79.83, 89.96, 90.00 degrees
Last column: nearest neighbours and their distance in Å.
Element x y z (fractional)
1 Sr 0.0000 0.0000 0.0000  1 Be 3.17
2 Sr 0.4978 0.3428 0.3139  1 Be 3.17
3 Hf 0.0000 0.7250 0.5508  6 Be 2.63-2.76
4 Hf 0.5001 0.6188 0.7633  6 Be 2.62-2.76
5 Be 0.0004 0.1460 0.7098  2 Be 2.16
6 Be 0.5006 0.1983 0.6045  2 Be 2.16

---

8.
SrHfBe3: relaxed, PBE.

The value obtained for the formation energy from the elements is 1.067 eV/atom. The value obtained for the energy above the most stable polymorph in this dataset is 0.000 eV per atom.

Cell lengths 4.8999, 4.8999, 4.8999 Å; angles 90.00, 90.00, 90.00 degrees
Last column: nearest neighbours and their distance in Å.
Element x y z (fractional)
1 Sr 0.0000 0.0000 0.0000  12 Be 3.46
2 Hf 0.5000 0.5000 0.5000  6 Be 2.45
3 Be 0.0000 0.5000 0.5000  2 Hf 2.45
4 Be 0.5000 0.0000 0.5000  2 Hf 2.45
5 Be 0.5000 0.5000 0.0000  2 Hf 2.45

---

9.
SrHfBe: relaxed, PBE.

The value obtained for the formation energy from the elements is 0.316 eV/atom. The value obtained for the energy above the most stable polymorph in this dataset is 0.143 eV per atom.

Cell lengths 12.3544, 12.3544, 12.3544 Å; angles 18.07, 18.07, 18.07 degrees
Last column: nearest neighbours and their distance in Å.
Element x y z (fractional)
1 Sr 0.0000 0.0000 0.0000  6 Be 3.19-3.21, 1 Hf 3.53
2 Sr 0.4351 0.4351 0.4351  3 Hf 3.67, 6 Sr 3.88
3 Hf 0.1815 0.1815 0.1815  3 Hf 3.00, 1 Be 3.23
4 Hf 0.9031 0.9031 0.9031  6 Be 2.55-2.57
5 Be 0.2702 0.2702 0.2702  3 Be 2.24
6 Be 0.6045 0.6045 0.6045  3 Be 2.24

---

10.
SrHfBe2: relaxed, PBE.

The value obtained for the formation energy from the elements is 0.618 eV/atom. The value obtained for the energy above the most stable polymorph in this dataset is 0.000 eV per atom.

Cell lengths 6.7934, 6.7934, 6.7934 Å; angles 90.00, 90.00, 90.00 degrees
Last column: nearest neighbours and their distance in Å.
Element x y z (fractional)
1 Sr 0.0000 0.0000 0.0000  8 Be 2.94
2 Sr 0.0000 0.5000 0.5000  8 Be 2.94
3 Sr 0.5000 0.0000 0.5000  8 Be 2.94
4 Sr 0.5000 0.5000 0.0000  8 Be 2.94
5 Hf 0.0000 0.0000 0.5000  8 Be 2.94
6 Hf 0.0000 0.5000 0.0000  8 Be 2.94
7 Hf 0.5000 0.0000 0.0000  8 Be 2.94
8 Hf 0.5000 0.5000 0.5000  8 Be 2.94
9 Be 0.2500 0.2500 0.2500  4 Hf 2.94, 4 Sr 2.94
10 Be 0.2500 0.2500 0.7500  4 Hf 2.94, 4 Sr 2.94
11 Be 0.2500 0.7500 0.2500  4 Sr 2.94, 4 Hf 2.94
12 Be 0.2500 0.7500 0.7500  4 Hf 2.94, 4 Sr 2.94
13 Be 0.7500 0.2500 0.2500  4 Sr 2.94, 4 Hf 2.94
14 Be 0.7500 0.2500 0.7500  4 Hf 2.94, 4 Sr 2.94
15 Be 0.7500 0.7500 0.2500  4 Hf 2.94, 4 Sr 2.94
16 Be 0.7500 0.7500 0.7500  4 Sr 2.94, 4 Hf 2.94

---

11.
SrHf2Be: relaxed, PBE.

The value obtained for the formation energy from the elements is 1.133 eV/atom.

Cell lengths 5.3031, 5.3031, 17.8223 Å; angles 90.00, 90.00, 90.00 degrees
Last column: nearest neighbours and their distance in Å.
Element x y z (fractional)
1 Sr 0.0000 0.0000 0.0000  8 Hf 3.65-3.77, 4 Be 3.75
2 Sr 0.0000 0.5000 0.2500  8 Hf 3.65-3.77, 4 Be 3.75
3 Sr 0.5000 0.0000 0.7500  8 Hf 3.65-3.77, 4 Be 3.75
4 Sr 0.5000 0.5000 0.5000  8 Hf 3.65-3.77, 4 Be 3.75
5 Hf 0.0156 0.2500 0.6250  2 Be 2.59, 2 Hf 2.66
6 Hf 0.2500 0.5156 0.8750  2 Be 2.59, 2 Hf 2.66
7 Hf 0.2500 0.9844 0.3750  2 Be 2.59, 2 Hf 2.66
8 Hf 0.4844 0.2500 0.1250  2 Be 2.59, 2 Hf 2.66
9 Hf 0.5156 0.7500 0.1250  2 Be 2.59, 2 Hf 2.66
10 Hf 0.7500 0.0156 0.3750  2 Be 2.59, 2 Hf 2.66
11 Hf 0.7500 0.4844 0.8750  2 Be 2.59, 2 Hf 2.66
12 Hf 0.9844 0.7500 0.6250  2 Be 2.59, 2 Hf 2.66
13 Be 0.0000 0.0000 0.5000  4 Hf 2.59
14 Be 0.0000 0.5000 0.7500  4 Hf 2.59
15 Be 0.5000 0.0000 0.2500  4 Hf 2.59
16 Be 0.5000 0.5000 0.0000  4 Hf 2.59

---

12.
SrHfBe: relaxed, PBE.

The value obtained for the formation energy from the elements is 0.774 eV/atom. The value obtained for the energy above the most stable polymorph in this dataset is 0.602 eV per atom.

Cell lengths 4.8701, 8.4645, 6.7883 Å; angles 90.00, 90.00, 90.00 degrees
Last column: nearest neighbours and their distance in Å.
Element x y z (fractional)
1 Sr 0.0000 0.0000 0.0000  6 Be 3.29, 6 Hf 3.29, 2 Sr 3.39
2 Sr 0.0000 0.0000 0.5000  6 Be 3.29, 6 Hf 3.29, 2 Sr 3.39
3 Sr 0.5000 0.5000 0.0000  6 Be 3.29, 6 Hf 3.29, 2 Sr 3.39
4 Sr 0.5000 0.5000 0.5000  6 Be 3.29, 6 Hf 3.29, 2 Sr 3.39
5 Hf 0.0000 0.3327 0.2500  3 Be 2.81-2.83
6 Hf 0.0000 0.6673 0.7500  3 Be 2.81-2.83
7 Hf 0.5000 0.1673 0.7500  3 Be 2.81-2.83
8 Hf 0.5000 0.8327 0.2500  3 Be 2.81-2.83
9 Be 0.0000 0.3333 0.7500  3 Hf 2.81-2.83
10 Be 0.0000 0.6667 0.2500  3 Hf 2.81-2.83
11 Be 0.5000 0.1667 0.2500  3 Hf 2.81-2.83
12 Be 0.5000 0.8333 0.7500  3 Hf 2.81-2.83